1.
## Cu2Ru (PBE-GGA)

Data for Cu2Ru after structural relaxation.

The structure in POSCAR format:
```
Cu2Ru
1.0
-2.069 1.449 -0.708
-0.063 -2.607 -0.290
-2.457 -0.603 5.946
Cu Ru
2 1
direct
0.333 0.667 0.340
0.667 0.333 0.660
0.000 0.000 0.000
```

Formation enthalpy at 0 K: 0.189 eV/atom



2.
## KCaNb (PBE-GGA)

Data for KCaNb after structural relaxation.

The structure in POSCAR format:
```
KCaNb
1.0
-6.744 -6.613 4.803
3.515 -5.080 1.874
0.349 2.356 2.545
K Nb Ca
2 2 2
direct
0.176 0.713 0.378
0.391 0.140 0.692
0.548 0.603 0.998
0.668 0.332 0.418
0.758 0.838 0.713
0.931 0.293 0.022
```

Formation enthalpy at 0 K: 0.618 eV/atom



3.
## La9Sm4Tm (PBE-GGA)

Data for La9Sm4Tm after structural relaxation.

The structure in POSCAR format:
```
La9Sm4Tm
1.0
-0.212 -3.602 -11.048
0.229 -9.567 3.115
-8.826 4.644 -1.344
La Sm Tm
18 8 2
direct
0.030 0.793 0.585
0.030 0.793 0.207
0.030 0.415 0.207
0.970 0.207 0.415
0.970 0.207 0.793
0.970 0.585 0.793
0.530 0.207 0.415
0.530 0.207 0.793
0.530 0.585 0.793
0.470 0.793 0.585
0.470 0.793 0.207
0.470 0.415 0.207
0.250 0.461 0.921
0.250 0.461 0.539
0.250 0.079 0.539
0.750 0.539 0.079
0.750 0.539 0.461
0.750 0.921 0.461
0.250 0.112 0.224
0.250 0.112 0.888
0.250 0.776 0.888
0.750 0.888 0.776
0.750 0.888 0.112
0.750 0.224 0.112
0.000 0.000 0.000
0.500 0.000 0.000
0.250 0.667 0.333
0.750 0.333 0.667
```

Formation enthalpy at 0 K: 0.144 eV/atom



4.
## Na2PrSm3Te6 (PBE-GGA)

Data for Na2PrSm3Te6 after structural relaxation.

The structure in POSCAR format:
```
Na2PrSm3Te6
1.0
-0.334 -2.579 -7.298
2.812 -4.563 5.593
-7.643 -0.285 1.822
Na Pr Sm Te
2 1 3 6
direct
0.333 0.667 0.000
0.667 0.333 0.000
0.000 0.000 0.000
0.167 0.833 0.500
0.833 0.167 0.500
0.500 0.500 0.500
0.916 0.581 0.747
0.751 0.751 0.255
0.084 0.419 0.253
0.581 0.916 0.747
0.249 0.249 0.745
0.419 0.084 0.253
```

Raw formation energy: -31.34 kcal/mol of atoms



5.
## Cd2CuRu (PBE-GGA)

Data for Cd2CuRu after structural relaxation.

The structure in POSCAR format:
```
Cd2CuRu
1.0
3.011 0.034 0.000
-0.033 3.011 0.000
0.000 0.000 7.525
Cd Cu Ru
2 1 1
direct
0.000 0.000 0.973
0.500 0.500 0.289
0.000 0.000 0.522
0.500 0.500 0.717
```

Formation enthalpy at 0 K: 0.256 eV/atom



6.
## NaCd2Ge (PBE-GGA)

Data for NaCd2Ge after structural relaxation.

The structure in POSCAR format:
```
NaCd2Ge
1.0
-2.382 1.381 -2.668
1.094 -2.772 -2.412
-4.486 -3.624 2.129
Na Ge Cd
1 1 2
direct
0.500 0.500 0.500
0.500 0.500 0.000
0.000 0.000 0.758
0.000 0.000 0.242
```

Formation enthalpy at 0 K: 0.053 eV/atom



7.
## TbOsO3 (PBE-GGA)

Data for TbOsO3 after structural relaxation.

The structure in POSCAR format:
```
TbOsO3
1.0
3.964 0.000 0.000
0.000 3.964 0.000
0.000 0.000 3.964
Tb Os O
1 1 3
direct
0.000 0.000 0.000
0.500 0.500 0.500
0.500 0.500 0.000
0.500 0.000 0.500
0.000 0.500 0.500
```

Raw formation energy: -33.67 kcal/mol of atoms



8.
## CeHoTm2Tl4 (PBE-GGA)

Data for CeHoTm2Tl4 after structural relaxation.

The structure in POSCAR format:
```
CeHoTm2Tl4
1.0
-3.232 3.791 -1.988
-5.245 -0.092 1.117
-1.389 6.210 6.866
Ce Ho Tm Tl
1 1 2 4
direct
0.500 0.500 0.500
0.000 0.000 0.000
0.749 0.749 0.752
0.251 0.251 0.248
0.374 0.374 0.879
0.877 0.877 0.369
0.123 0.123 0.631
0.626 0.626 0.121
```

Formation enthalpy at 0 K: -0.282 eV/atom